# SrNp2VO8 | Alexandria | GGA+U | optimized geometry
data_SrNp2VO8
_cell_length_a 4.961
_cell_length_b 6.985
_cell_length_c 4.961
_cell_angle_alpha 90.00
_cell_angle_beta 92.50
_cell_angle_gamma 90.00
_space_group_name_H-M_alt 'P 1 2/m 1'
_space_group_IT_number 10
loop_
_space_group_symop_operation_xyz
'x,y,z'
'-x,-y,-z'
'-x,y,-z'
'x,-y,z'
loop_
_atom_site_label
_atom_site_type_symbol
_atom_site_fract_x
_atom_site_fract_y
_atom_site_fract_z
Sr1 Sr 0.000 0.000 0.000
Np1 Np 0.500 0.259 0.500
V1 V 0.000 0.500 0.000
O1 O 0.209 0.285 0.210
O2 O 0.296 0.500 0.706
O3 O 0.332 0.000 0.671
# - E (eV per atom) = -8.9209
# - total moment (Bohr magnetons per cell) = 5.0
# - crystal system = monoclinic